# 1
{"formula": "YTcC2Br", "functional": "PBE-GGA", "state": "optimized geometry", "lattice": [[-1.4252, -2.5382, -3.1286], [3.7350, -3.4144, 1.0685], [-2.5897, -1.9649, 2.7738]], "species": ["Y", "C", "C", "Tc", "Br"], "frac_coords": [[0.0000, 0.5000, 0.0000], [0.0000, 0.0000, 0.5000], [0.5000, 0.0000, 0.0000], [0.5000, 0.5000, 0.5000], [0.0000, 0.0000, 0.0000]], "e_tot_ev_per_atom": -4.68, "raw_formation_energy_mev_per_atom": 2712}

***

# 2
{"formula": "TeCBr2", "functional": "PBE-GGA", "state": "optimized geometry", "lattice": [[-3.4100, 5.5240, 2.2208], [-4.9090, -1.1607, -4.6506], [-6.5343, -0.5681, 1.9781]], "species": ["C", "C", "Te", "Te", "Br", "Br", "Br", "Br"], "frac_coords": [[0.5000, 0.5000, 0.0000], [0.2500, 0.7500, 0.5000], [0.0000, 0.0000, 0.0000], [0.7500, 0.2500, 0.5000], [0.3760, 0.1250, 0.2500], [0.3740, 0.6250, 0.2500], [0.3750, 0.6240, 0.7500], [0.8750, 0.6260, 0.7500]], "e_tot_ev_per_atom": -2.57, "raw_formation_energy_mev_per_atom": 1354}

***

# 3
{"formula": "TeCBr3", "functional": "PBE-GGA", "state": "optimized geometry", "lattice": [[5.5883, 0.0000, 0.0000], [0.0000, 5.5883, 0.0000], [0.0000, 0.0000, 5.5883]], "species": ["Te", "C", "Br", "Br", "Br"], "frac_coords": [[0.0000, 0.0000, 0.0000], [0.5000, 0.5000, 0.5000], [0.0000, 0.5000, 0.0000], [0.0000, 0.0000, 0.5000], [0.5000, 0.0000, 0.0000]], "e_tot_ev_per_atom": -2.12, "raw_formation_energy_mev_per_atom": 1355}

***

# 4
{"formula": "TeCBr3", "functional": "PBE-GGA", "state": "optimized geometry", "lattice": [[4.8120, 0.0000, 0.0000], [0.0000, 4.8120, 0.0000], [0.0000, 0.0000, 4.8120]], "species": ["Te", "C", "Br", "Br", "Br"], "frac_coords": [[0.5000, 0.5000, 0.5000], [0.0000, 0.0000, 0.0000], [0.0000, 0.5000, 0.0000], [0.0000, 0.0000, 0.5000], [0.5000, 0.0000, 0.0000]], "e_tot_ev_per_atom": -2.34, "raw_formation_energy_mev_per_atom": 1140}